Record 1
First-principles (PBE) data for a relaxed structure of CrAuSe2, as listed in the Alexandria database.

Properties
DOS(E_F) = 1.75 states/eV/f.u.
E_form (uncorrected) = 0.77 eV/f.u.

Cell and atoms, written as extended XYZ:
```
4
Lattice="-3.9675 -2.1387 -0.9333 -0.4987 -1.0196 4.4607 -1.7265 2.9889 0.4902" Properties=species:S:1:pos:R:3 pbc="T T T"
Se 0.0000 0.0000 0.0000
Au -2.8470 0.4251 -0.2216
Se -2.2331 -1.5792 1.7637
Cr -1.1126 0.9846 2.4755
```

=====

Record 2
First-principles (PBE) data for a relaxed structure of CrAuSe2, as listed in the Alexandria database.

Properties
DOS(E_F) = 2.54 states/eV/f.u.
E_form (uncorrected) = -0.18 eV/f.u.

Cell and atoms, written as extended XYZ:
```
4
Lattice="-0.9791 6.0223 3.6972 0.4302 3.3779 6.2690 2.8955 5.2730 3.8351" Properties=species:S:1:pos:R:3 pbc="T T T"
Se 0.5121 3.2026 3.0123
Se 0.0757 0.4733 0.4452
Cr 1.7647 11.0352 10.3795
Au 1.1672 7.2987 6.8650
```

=====

Record 3
First-principles (PBE) data for a relaxed structure of CrAuSe3, as listed in the Alexandria database.

Properties
DOS(E_F) = 4.90 states/eV/f.u.
Excess energy over the best structure of this formula in the dataset = 0 meV per atom
E_form (uncorrected) = 2.15 eV/f.u.

Cell and atoms, written as extended XYZ:
```
5
Lattice="4.7306 0.0000 0.0000 0.0000 4.7306 0.0000 0.0000 0.0000 4.7306" Properties=species:S:1:pos:R:3 pbc="T T T"
Se 0.0000 2.3653 0.0000
Se 0.0000 0.0000 2.3653
Se 2.3653 0.0000 0.0000
Au 2.3653 2.3653 2.3653
Cr 0.0000 0.0000 0.0000
```